(1)
NaCaEuSn: optimized geometry, PBE-GGA.

Geometry as POSCAR:
```
NaCaEuSn
1.0
0.000 3.956 3.956
3.956 0.000 3.956
3.956 3.956 0.000
Na Ca Eu Sn
1 1 1 1
direct
0.000 0.000 0.000
0.250 0.250 0.250
0.750 0.750 0.750
0.500 0.500 0.500
```

- DOS(E_F) (states/eV/atom) = 3.05
- ΔH_f (0 K) (meV per atom) = -411
- calculated total energy (Ry/atom) = -0.354


(2)
B7C3: optimized geometry, PBE-GGA.

Geometry as POSCAR:
```
B7C3
1.0
-1.322 6.864 2.139
1.322 -6.864 2.139
1.322 6.864 -2.139
B C
7 3
direct
0.000 0.000 0.000
0.173 0.941 0.232
0.259 0.330 0.929
0.401 0.330 0.071
0.486 0.090 0.396
0.694 0.090 0.604
0.710 0.941 0.768
0.547 0.256 0.291
0.803 0.303 0.500
0.965 0.256 0.709
```

- DOS(E_F) (states/eV/atom) = 0.30
- ΔH_f (0 K) (meV per atom) = 442
- distance to the lowest polymorph of the same formula (meV per atom) = 150
- calculated total energy (Ry/atom) = -0.514